## i
First-principles (PBE) data for a geometry-optimized TmNpBi2 structure, as listed in the Alexandria database.

Structure (POSCAR):
```
TmNpBi2
1.0
2.231 1.288 7.347
-2.231 1.288 7.347
0.000 -2.576 7.347
Tm Np Bi
1 1 2
direct
0.000 0.000 0.000
0.500 0.500 0.500
0.252 0.252 0.252
0.748 0.748 0.748
```

Output
Space-group type: No. 166

## ii
First-principles (PBE) data for a geometry-optimized TmNpBi2 structure, as listed in the Alexandria database.

Structure (POSCAR):
```
TmNpBi2
1.0
5.300 0.000 0.000
0.000 5.300 0.000
0.000 0.000 4.057
Tm Np Bi
1 1 2
direct
0.000 0.000 0.000
0.500 0.500 0.000
0.000 0.500 0.500
0.500 0.000 0.500
```

Output
Space-group type: No. 123

Tell me which of them is the most stable. Sure, it is i.

## i
First-principles (PBE) data for a geometry-optimized NpUBi2 structure, as listed in the Alexandria database.

Structure (POSCAR):
```
NpUBi2
1.0
0.000 3.825 3.825
3.825 0.000 3.825
3.825 3.825 0.000
Np U Bi
1 1 2
direct
0.000 0.000 0.000
0.500 0.500 0.500
0.250 0.250 0.250
0.750 0.750 0.750
```

Output
Space-group type: No. 225

## ii
First-principles (PBE) data for a geometry-optimized NpUBi2 structure, as listed in the Alexandria database.

Structure (POSCAR):
```
NpUBi2
1.0
5.901 0.000 0.000
0.000 5.901 0.000
0.000 0.000 3.248
Np U Bi
1 1 2
direct
0.000 0.000 0.000
0.500 0.500 0.000
0.000 0.500 0.500
0.500 0.000 0.500
```

Output
Space-group type: No. 123

Tell me which of them is the most stable. Sure, it is i.

## i
First-principles (PBE) data for a geometry-optimized ZrNpBi2 structure, as listed in the Alexandria database.

Structure (POSCAR):
```
ZrNpBi2
1.0
3.628 0.000 0.000
0.000 3.628 0.000
0.000 0.000 8.040
Zr Np Bi
1 1 2
direct
0.000 0.000 0.000
0.000 0.000 0.500
0.500 0.500 0.231
0.500 0.500 0.769
```

Output
Space-group type: No. 123

## ii
First-principles (PBE) data for a geometry-optimized ZrNpBi2 structure, as listed in the Alexandria database.

Structure (POSCAR):
```
ZrNpBi2
1.0
1.658 0.957 11.697
-1.658 0.957 11.697
0.000 -1.914 11.697
Zr Np Bi
1 1 2
direct
0.000 0.000 0.000
0.500 0.500 0.500
0.087 0.087 0.087
0.913 0.913 0.913
```

Output
Space-group type: No. 166

Tell me which of them is the most stable. Sure, it is i.

## i
First-principles (PBE) data for a geometry-optimized ZrNpBi2 structure, as listed in the Alexandria database.

Structure (POSCAR):
```
ZrNpBi2
1.0
5.639 0.000 0.000
0.000 5.639 0.000
0.000 0.000 3.358
Zr Np Bi
1 1 2
direct
0.000 0.000 0.000
0.500 0.500 0.000
0.000 0.500 0.500
0.500 0.000 0.500
```

Output
Space-group type: No. 123

## ii
First-principles (PBE) data for a geometry-optimized ZrNpBi2 structure, as listed in the Alexandria database.

Structure (POSCAR):
```
ZrNpBi2
1.0
0.000 3.768 3.768
3.768 0.000 3.768
3.768 3.768 0.000
Zr Np Bi
1 1 2
direct
0.000 0.000 0.000
0.500 0.500 0.500
0.250 0.250 0.250
0.750 0.750 0.750
```

Output
Space-group type: No. 225

Tell me which of them is the most stable. Sure, it is i.

## i
First-principles (PBE) data for a geometry-optimized BiO structure, as listed in the Alexandria database.

Structure (POSCAR):
```
BiO
1.0
1.992 1.150 3.155
-1.992 1.150 3.155
0.000 -2.301 3.155
Bi O
1 1
direct
0.000 0.000 0.000
0.744 0.744 0.744
```

Output
Space-group type: No. 160

## ii
First-principles (PBE) data for a geometry-optimized BiO structure, as listed in the Alexandria database.

Structure (POSCAR):
```
BiO
1.0
3.740 0.000 0.000
0.000 12.168 0.000
0.000 0.000 5.679
Bi O
6 6
direct
0.250 0.059 0.232
0.250 0.441 0.232
0.250 0.750 0.212
0.750 0.250 0.788
0.750 0.559 0.768
0.750 0.941 0.768
0.250 0.250 0.011
0.250 0.599 0.444
0.250 0.901 0.444
0.750 0.099 0.556
0.750 0.401 0.556
0.750 0.750 0.989
```

Output
Space-group type: No. 59

## iii
First-principles (PBE) data for a geometry-optimized BiO structure, as listed in the Alexandria database.

Structure (POSCAR):
```
BiO
1.0
-4.423 4.423 2.313
4.423 -4.423 2.313
4.423 4.423 -2.313
Bi O
4 4
direct
0.065 0.708 0.773
0.292 0.065 0.357
0.708 0.935 0.643
0.935 0.292 0.227
0.150 0.463 0.613
0.463 0.850 0.313
0.537 0.150 0.687
0.850 0.537 0.387
```

Output
Space-group type: No. 87

## iv
First-principles (PBE) data for a geometry-optimized BiO structure, as listed in the Alexandria database.

Structure (POSCAR):
```
BiO
1.0
4.258 0.000 0.000
-2.129 3.688 0.000
0.000 0.000 5.292
Bi O
2 2
direct
0.333 0.667 0.250
0.667 0.333 0.750
0.333 0.667 0.750
0.667 0.333 0.250
```

Output
Space-group type: No. 194

Tell me which of them is the most stable. Sure, it is ii.

## i
First-principles (PBE) data for a geometry-optimized BiO structure, as listed in the Alexandria database.

Structure (POSCAR):
```
BiO
1.0
0.000 4.183 5.248
3.747 0.000 5.248
3.747 4.183 0.000
Bi O
4 4
direct
0.123 0.627 0.627
0.373 0.877 0.877
0.627 0.123 0.123
0.877 0.373 0.373
0.007 0.007 0.743
0.257 0.257 0.993
0.743 0.743 0.007
0.993 0.993 0.257
```

Output
Space-group type: No. 70

## ii
First-principles (PBE) data for a geometry-optimized BiO structure, as listed in the Alexandria database.

Structure (POSCAR):
```
BiO
1.0
3.739 0.000 0.000
0.000 5.535 3.001
0.000 -5.535 3.001
Bi O
3 3
direct
0.000 0.000 0.000
0.500 0.315 0.711
0.500 0.711 0.315
0.000 0.086 0.687
0.000 0.687 0.086
0.500 0.793 0.793
```

Output
Space-group type: No. 38

## iii
First-principles (PBE) data for a geometry-optimized BiO structure, as listed in the Alexandria database.

Structure (POSCAR):
```
BiO
1.0
6.837 0.000 0.000
0.000 6.837 0.000
0.000 0.000 6.837
Bi O
6 6
direct
0.000 0.250 0.500
0.000 0.750 0.500
0.250 0.500 0.000
0.500 0.000 0.250
0.500 0.000 0.750
0.750 0.500 0.000
0.000 0.500 0.250
0.000 0.500 0.750
0.250 0.000 0.500
0.500 0.250 0.000
0.500 0.750 0.000
0.750 0.000 0.500
```

Output
Space-group type: No. 223

## iv
First-principles (PBE) data for a geometry-optimized BiO structure, as listed in the Alexandria database.

Structure (POSCAR):
```
BiO
1.0
6.463 0.000 0.000
0.000 7.016 0.000
0.000 0.000 7.025
Bi O
8 8
direct
0.106 0.141 0.171
0.112 0.368 0.657
0.388 0.632 0.157
0.394 0.859 0.671
0.606 0.359 0.829
0.612 0.132 0.343
0.888 0.868 0.843
0.894 0.641 0.329
0.058 0.673 0.039
0.214 0.083 0.812
0.286 0.917 0.312
0.442 0.327 0.539
0.558 0.827 0.961
0.714 0.417 0.188
0.786 0.583 0.688
0.942 0.173 0.461
```

Output
Space-group type: No. 19

Tell me which of them is the most stable. Sure, it is i.

## i
First-principles (PBE) data for a geometry-optimized BiO structure, as listed in the Alexandria database.

Structure (POSCAR):
```
BiO
1.0
-4.412 4.412 2.217
4.412 -4.412 2.217
4.412 4.412 -2.217
Bi O
4 4
direct
0.086 0.734 0.820
0.266 0.086 0.351
0.734 0.914 0.649
0.914 0.266 0.180
0.252 0.335 0.587
0.335 0.748 0.083
0.665 0.252 0.917
0.748 0.665 0.413
```

Output
Space-group type: No. 87

## ii
First-principles (PBE) data for a geometry-optimized BiO structure, as listed in the Alexandria database.

Structure (POSCAR):
```
BiO
1.0
-3.816 3.816 3.816
3.816 -3.816 3.816
3.816 3.816 -3.816
Bi O
4 4
direct
0.000 0.000 0.330
0.000 0.330 0.000
0.330 0.000 0.000
0.670 0.670 0.670
0.000 0.000 0.730
0.000 0.730 0.000
0.270 0.270 0.270
0.730 0.000 0.000
```

Output
Space-group type: No. 217

## iii
First-principles (PBE) data for a geometry-optimized BiO structure, as listed in the Alexandria database.

Structure (POSCAR):
```
BiO
1.0
8.420 0.000 0.000
-4.210 7.292 0.000
0.000 0.000 4.520
Bi O
6 6
direct
0.113 0.694 0.250
0.306 0.419 0.250
0.419 0.113 0.750
0.581 0.887 0.250
0.694 0.581 0.750
0.887 0.306 0.750
0.050 0.611 0.750
0.389 0.439 0.750
0.439 0.050 0.250
0.561 0.950 0.750
0.611 0.561 0.250
0.950 0.389 0.250
```

Output
Space-group type: No. 176

Tell me which of them is the most stable. Sure, it is i.

## i
First-principles (PBE) data for a geometry-optimized BiO structure, as listed in the Alexandria database.

Structure (POSCAR):
```
BiO
1.0
0.000 2.613 2.613
2.613 0.000 2.613
2.613 2.613 0.000
Bi O
1 1
direct
0.000 0.000 0.000
0.500 0.500 0.500
```

Output
Space-group type: No. 225

## ii
First-principles (PBE) data for a geometry-optimized BiO structure, as listed in the Alexandria database.

Structure (POSCAR):
```
BiO
1.0
5.426 0.000 0.000
0.000 5.426 0.000
0.000 0.000 5.107
Bi O
4 4
direct
0.240 0.240 0.000
0.260 0.740 0.500
0.740 0.260 0.500
0.760 0.760 0.000
0.194 0.806 0.000
0.306 0.306 0.500
0.694 0.694 0.500
0.806 0.194 0.000
```

Output
Space-group type: No. 136

## iii
First-principles (PBE) data for a geometry-optimized BiO structure, as listed in the Alexandria database.

Structure (POSCAR):
```
BiO
1.0
3.442 0.000 0.000
0.000 4.503 0.000
-1.603 0.000 5.369
Bi O
2 2
direct
0.126 0.250 0.257
0.874 0.750 0.743
0.060 0.750 0.145
0.940 0.250 0.855
```

Output
Space-group type: No. 11

Tell me which of them is the most stable. Sure, it is iii.

## i
First-principles (PBE) data for a geometry-optimized BiO4 structure, as listed in the Alexandria database.

Structure (POSCAR):
```
BiO4
1.0
3.095 -1.787 0.000
3.095 1.787 0.000
-2.064 0.000 8.857
Bi O
1 4
direct
0.000 0.000 0.000
0.296 0.296 0.888
0.475 0.475 0.562
0.525 0.525 0.438
0.704 0.704 0.112
```

Output
Space-group type: No. 12

## ii
First-principles (PBE) data for a geometry-optimized BiO4 structure, as listed in the Alexandria database.

Structure (POSCAR):
```
BiO4
1.0
4.227 0.000 0.000
0.000 4.227 0.000
0.000 0.000 4.227
Bi O
1 4
direct
0.000 0.000 0.000
0.000 0.000 0.500
0.000 0.500 0.000
0.500 0.000 0.000
0.500 0.500 0.500
```

Output
Space-group type: No. 221

Tell me which of them is the most stable. Sure, it is i.